[1]
! PrInGeAu, optimized geometry, DFT PBE; values from VASP
&SYSTEM
  ibrav = 0, nat = 4, ntyp = 4
/
ATOMIC_SPECIES
Pr 140.91 Pr.upf
In 114.82 In.upf
Ge 72.64 Ge.upf
Au 196.97 Au.upf
CELL_PARAMETERS angstrom
0.000 3.614 3.614
3.614 0.000 3.614
3.614 3.614 0.000
ATOMIC_POSITIONS angstrom
Pr 0.000 0.000 0.000
In 3.614 3.614 3.614
Ge 5.421 5.421 5.421
Au 1.807 1.807 1.807
! Total DFT energy (no corrections): -4.295 eV per atom
! Total moment: 0.00 μB per formula unit
! DOS(E_F): 3.7 states/eV/f.u.
! Crystal system: cubic
! Calculated density: 9.24 g/cm3



[2]
! CrRe2Cl, optimized geometry, DFT PBE; values from VASP
&SYSTEM
  ibrav = 0, nat = 4, ntyp = 3
/
ATOMIC_SPECIES
Cr 52.00 Cr.upf
Re 186.21 Re.upf
Cl 35.45 Cl.upf
CELL_PARAMETERS angstrom
2.821 0.000 0.000
0.000 4.053 0.000
-1.315 0.000 5.156
ATOMIC_POSITIONS angstrom
Cr 0.000 0.000 0.000
Re -0.055 2.026 3.950
Re 1.561 2.026 1.207
Cl -0.658 0.000 2.578
! Total DFT energy (no corrections): -8.318 eV per atom
! Total moment: 0.79 μB per formula unit
! DOS(E_F): 3.0 states/eV/f.u.
! Energy relative to the elements, uncorrected: 0.773 eV/atom
! Crystal system: monoclinic
! Distance to the lowest polymorph of the same formula: 2.03 eV per formula unit
! Calculated density: 12.95 g/cm3



[3]
! Ac4Pd2Pt, optimized geometry, DFT PBE; values from VASP
&SYSTEM
  ibrav = 0, nat = 7, ntyp = 3
/
ATOMIC_SPECIES
Ac 227.00 Ac.upf
Pd 106.42 Pd.upf
Pt 195.08 Pt.upf
CELL_PARAMETERS angstrom
8.010 -2.253 0.000
8.010 2.253 0.000
-3.687 0.000 6.750
ATOMIC_POSITIONS angstrom
Ac 0.284 0.000 3.195
Ac 5.751 0.000 0.304
Ac 6.582 0.000 6.446
Ac 12.049 0.000 3.555
Pd 2.994 0.000 1.635
Pd 9.339 0.000 5.116
Pt 6.166 0.000 3.375
! Total DFT energy (no corrections): -5.463 eV per atom
! Total moment: 0.00 μB per formula unit
! DOS(E_F): 4.9 states/eV/f.u.
! Crystal system: monoclinic
! Distance to the lowest polymorph of the same formula: 0.00 eV per formula unit
! Calculated density: 8.97 g/cm3